Computed, not measured: a relaxed Te2RhPb crystal at the PBE level of DFT.

Calculated values
ΔE_f (raw)   -0.213 eV per atom
Final energy   -4.549 eV per atom

The structure in extended XYZ format:
```
4
Lattice="-2.192 -1.865 -2.771 -0.674 -4.134 3.316 -4.330 0.497 3.090" Properties=species:S:1:pos:R:3 pbc="T T T"
Pb -3.261 -0.684 0.160
Te -1.325 -2.785 2.923
Te -3.679 -0.851 3.483
Rh -1.433 -3.000 0.273
```